{"formula": "Mg8SiAu2", "functional": "PBE", "state": "optimized geometry", "final_energy_ev_per_atom": -2.526, "formation_energy_uncorrected_ev_per_atom": -0.278, "n_ef_per_ev_atom": 0.2845, "lattice": [[-2.3486, 3.2765, 7.0429], [2.3486, -3.2765, 7.0429], [2.3486, 3.2765, -7.0429]], "species": ["Mg", "Mg", "Mg", "Mg", "Mg", "Mg", "Mg", "Mg", "Si", "Au", "Au"], "frac_coords": [[0.1146, 0.3488, 0.7658], [0.1740, 0.1740, 0.0000], [0.2743, 0.0000, 0.2743], [0.4170, 0.6512, 0.7658], [0.5830, 0.3488, 0.2342], [0.7257, 0.0000, 0.7257], [0.8260, 0.8260, 0.0000], [0.8854, 0.6512, 0.2342], [0.0000, 0.5000, 0.5000], [0.3196, 0.8196, 0.5000], [0.6804, 0.1804, 0.5000]]}